26
Lattice="-2.0361 -4.8140 -1.9097 5.6432 -2.7843 5.6933 -8.5230 4.3032 3.0554" Properties=species:S:1:pos:R:3 comment="SrMgCoP2O8 (GGA+U, relaxed)" total_energy_ry_per_atom=-0.47761 spacegroup="P-1, No. 2" volume_a3_per_cell=382.7 relative_energy_mev_per_atom=459.6 pbc="T T T"
O -6.9573 0.3787 2.2510
O -3.4726 1.1583 1.0006
O 0.1242 -2.0370 4.8416
O -1.7531 -3.7899 -0.6923
O -1.5307 -0.7642 1.7883
O -0.0747 -3.8451 3.0840
O -3.5587 -3.1976 0.9717
O -5.0401 -1.2580 1.9974
O -1.3572 -0.0975 5.8673
O 2.0413 -3.6738 4.5880
O -4.8413 0.5500 3.7550
O 1.5396 -6.3483 4.2065
O -6.4556 3.0533 2.6325
O -3.1628 0.4948 7.5313
O -1.4433 -4.4534 5.8384
O -3.3853 -2.5308 5.0507
Sr -4.9514 -0.5913 6.0256
Sr 0.0355 -2.7037 0.8134
P 1.0081 -2.8117 3.7294
P -5.9240 -0.4834 3.1096
P -1.7398 0.7959 7.0722
P -3.1762 -4.0909 -0.2332
Co -5.6656 -2.9337 1.0846
Co 0.7496 -0.3613 5.7544
Mg -3.4155 -0.9812 0.8942
Mg -1.5004 -2.3139 5.9448